! TcPPb2 | Alexandria via LeMat-Bulk | PBE-GGA | relaxed; values from VASP
&SYSTEM
  ibrav = 0, nat = 4, ntyp = 3
/
ATOMIC_SPECIES
P 30.97 P.upf
Pb 207.20 Pb.upf
Tc 98.00 Tc.upf
CELL_PARAMETERS angstrom
2.137 -2.478 0.000
2.137 2.478 0.000
0.000 0.000 8.165
ATOMIC_POSITIONS crystal
P 0.500 0.500 0.000
Pb 0.000 0.000 0.259
Pb 0.000 0.000 0.741
Tc 0.500 0.500 0.500
! DOS(E_F) = 2.8 states/eV per cell
! Total magnetization = 1.7 μB per formula unit
! ΔH_f (0 K) = 0.776 eV per atom

=====

! Tc2PPb | Alexandria via LeMat-Bulk | PBE-GGA | relaxed; values from VASP
&SYSTEM
  ibrav = 0, nat = 4, ntyp = 3
/
ATOMIC_SPECIES
Pb 207.20 Pb.upf
Tc 98.00 Tc.upf
P 30.97 P.upf
CELL_PARAMETERS angstrom
1.786 3.094 0.025
-1.786 3.094 0.025
0.000 1.981 6.729
ATOMIC_POSITIONS crystal
Pb 0.500 0.500 0.000
Tc 0.283 0.283 0.653
Tc 0.717 0.717 0.347
P 0.000 0.000 0.500
! Offset from the most stable computed form = 0.032 eV per atom
! DOS(E_F) = 2.2 states/eV per cell
! Total magnetization = 0.0 μB per formula unit
! ΔH_f (0 K) = 0.037 eV per atom

=====

! TcPPb2 | Alexandria via LeMat-Bulk | PBE-GGA | relaxed; values from VASP
&SYSTEM
  ibrav = 0, nat = 8, ntyp = 3
/
ATOMIC_SPECIES
Pb 207.20 Pb.upf
Tc 98.00 Tc.upf
P 30.97 P.upf
CELL_PARAMETERS angstrom
6.512 0.000 0.000
0.000 6.512 0.000
3.256 3.256 5.834
ATOMIC_POSITIONS crystal
Pb 0.875 0.872 0.750
Pb 0.128 0.625 0.250
Tc 0.000 0.000 0.000
Pb 0.622 0.125 0.250
P 0.500 0.500 0.000
P 0.250 0.750 0.500
Tc 0.750 0.250 0.500
Pb 0.375 0.378 0.750
! DOS(E_F) = 5.6 states/eV per cell
! Total magnetization = 2.2 μB per formula unit
! ΔH_f (0 K) = 0.985 eV per atom

=====

! Tc2PPb | Alexandria via LeMat-Bulk | PBE-GGA | relaxed; values from VASP
&SYSTEM
  ibrav = 0, nat = 4, ntyp = 3
/
ATOMIC_SPECIES
Pb 207.20 Pb.upf
Tc 98.00 Tc.upf
P 30.97 P.upf
CELL_PARAMETERS angstrom
-6.275 0.443 6.182
-6.755 -2.415 5.132
-4.603 -1.903 7.279
ATOMIC_POSITIONS crystal
Pb 0.252 0.252 0.252
Tc 0.009 0.009 0.009
Tc 0.756 0.756 0.756
P 0.483 0.483 0.483
! Offset from the most stable computed form = 0.298 eV per atom
! DOS(E_F) = 3.9 states/eV per cell
! Total magnetization = 0.0 μB per formula unit
! ΔH_f (0 K) = 0.304 eV per atom

=====

! TcPPb2 | Alexandria via LeMat-Bulk | PBE-GGA | relaxed; values from VASP
&SYSTEM
  ibrav = 0, nat = 4, ntyp = 3
/
ATOMIC_SPECIES
Pb 207.20 Pb.upf
P 30.97 P.upf
Tc 98.00 Tc.upf
CELL_PARAMETERS angstrom
3.578 0.000 0.000
0.000 3.629 -0.043
0.000 1.025 6.442
ATOMIC_POSITIONS crystal
Pb 0.000 0.037 0.259
P 0.500 0.500 0.000
Pb 0.000 0.963 0.741
Tc 0.500 0.500 0.500
! DOS(E_F) = 3.6 states/eV per cell
! Total magnetization = 0.0 μB per formula unit
! ΔH_f (0 K) = 0.711 eV per atom

=====

! TcPPb2 | Alexandria via LeMat-Bulk | PBE-GGA | relaxed; values from VASP
&SYSTEM
  ibrav = 0, nat = 4, ntyp = 3
/
ATOMIC_SPECIES
Pb 207.20 Pb.upf
P 30.97 P.upf
Tc 98.00 Tc.upf
CELL_PARAMETERS angstrom
3.595 0.000 0.000
0.000 3.595 0.000
0.000 0.000 6.455
ATOMIC_POSITIONS crystal
Pb 0.000 0.000 0.758
Pb 0.000 0.000 0.242
P 0.500 0.500 0.500
Tc 0.500 0.500 0.000
! DOS(E_F) = 4.3 states/eV per cell
! Total magnetization = 0.2 μB per formula unit
! ΔH_f (0 K) = 0.730 eV per atom

=====

! Tc2PPb | Alexandria via LeMat-Bulk | PBE-GGA | relaxed; values from VASP
&SYSTEM
  ibrav = 0, nat = 4, ntyp = 3
/
ATOMIC_SPECIES
Tc 98.00 Tc.upf
Pb 207.20 Pb.upf
P 30.97 P.upf
CELL_PARAMETERS angstrom
-2.014 -1.249 3.806
0.436 -3.002 -0.754
4.566 0.027 2.425
ATOMIC_POSITIONS crystal
Tc 0.500 0.374 0.254
Tc 0.000 0.878 0.081
Pb 0.500 0.872 0.753
P 0.000 0.376 0.412
! Offset from the most stable computed form = 0.233 eV per atom
! DOS(E_F) = 3.9 states/eV per cell
! Total magnetization = 0.0 μB per formula unit
! ΔH_f (0 K) = 0.239 eV per atom

=====

! TcPPb2 | Alexandria via LeMat-Bulk | PBE-GGA | relaxed; values from VASP
&SYSTEM
  ibrav = 0, nat = 4, ntyp = 3
/
ATOMIC_SPECIES
Tc 98.00 Tc.upf
Pb 207.20 Pb.upf
P 30.97 P.upf
CELL_PARAMETERS angstrom
-4.652 1.123 1.481
-0.894 -4.601 -1.770
0.663 -1.312 3.077
ATOMIC_POSITIONS crystal
Tc 0.000 0.000 0.500
Pb 0.500 0.000 0.000
Pb 0.000 0.500 0.000
P 0.500 0.500 0.500
! DOS(E_F) = 3.7 states/eV per cell
! Total magnetization = 1.2 μB per formula unit
! ΔH_f (0 K) = 0.737 eV per atom